Here is crystalline Tm8ZrSc4 at its relaxed geometry from the Alexandria database. Energies are from PBE.

abc: 6.546 7.095 8.388
angles: 89.34 82.61 74.27
Space group P-1 (No. 2)
Symmetry-distinct sites (fractional):
Tm1 0.136 0.311 0.337 [2 per cell]
Tm2 0.178 0.809 0.314 [2 per cell]
Tm3 0.295 0.270 0.720 [2 per cell]
Tm4 0.318 0.818 0.712 [2 per cell]
Zr1 0.500 0.500 0.500 [1 per cell]
Sc1 0.000 0.000 0.000 [1 per cell]
Sc2 0.000 0.500 0.000 [1 per cell]
Sc3 0.500 0.000 0.000 [1 per cell]
Sc4 0.500 0.500 0.000 [1 per cell]

Summary:
Size of the total moment: 0.00 μB per atom
Fermi-level density of states: 1.497 states/eV per atom
DFT total energy: -5.10 eV/atom
ΔH_f (0 K): 24.7 kJ per mole of atoms



Here is crystalline Tm7Zr2Sc2 at its relaxed geometry from the Alexandria database. Energies are from PBE.

abc: 5.845 8.609 12.875
angles: 80.87 79.22 76.35
Space group P-1 (No. 2)
Symmetry-distinct sites (fractional):
Tm1 0.048 0.184 0.421 [2 per cell]
Tm2 0.053 0.858 0.298 [2 per cell]
Tm3 0.194 0.191 0.127 [2 per cell]
Tm4 0.267 0.504 0.929 [2 per cell]
Tm5 0.276 0.506 0.428 [2 per cell]
Tm6 0.367 0.156 0.843 [2 per cell]
Tm7 0.391 0.796 0.725 [2 per cell]
Zr1 0.195 0.554 0.173 [2 per cell]
Zr2 0.212 0.451 0.677 [2 per cell]
Sc1 0.223 0.852 0.008 [2 per cell]
Sc2 0.497 0.853 0.437 [2 per cell]

Summary:
Energy relative to the lowest polymorph listed for this composition: 11.3 meV/atom
Size of the total moment: 0.00 μB per atom
Fermi-level density of states: 1.486 states/eV per atom
DFT total energy: -5.45 eV/atom
ΔH_f (0 K): 9.7 kJ per mole of atoms



Here is crystalline TmZr3Sc3 at its relaxed geometry from the Alexandria database. Energies are from PBE.

abc: 10.840 5.023 12.781
angles: 90.00 97.48 90.00
Space group C2/m (No. 12)
Symmetry-distinct sites (fractional):
Tm1 0.147 0.000 0.013 [4 per cell]
Zr1 0.013 0.000 0.231 [4 per cell]
Zr2 0.093 0.500 0.845 [4 per cell]
Zr3 0.211 0.500 0.193 [4 per cell]
Sc1 0.073 0.500 0.393 [4 per cell]
Sc2 0.124 0.000 0.566 [4 per cell]
Sc3 0.241 0.500 0.642 [4 per cell]

Summary:
Energy relative to the lowest polymorph listed for this composition: 92.6 meV/atom
Size of the total moment: 0.00 μB per atom
Fermi-level density of states: 1.357 states/eV per atom
DFT total energy: -6.93 eV/atom
ΔH_f (0 K): 8.3 kJ per mole of atoms



Here is crystalline TmZr2Sc5 at its relaxed geometry from the Alexandria database. Energies are from PBE.

abc: 6.589 10.344 11.552
angles: 90.00 90.00 90.00
Space group Fmm2 (No. 42)
Symmetry-distinct sites (fractional):
Tm1 0.000 0.000 0.000 [4 per cell]
Zr1 0.000 0.247 0.666 [8 per cell]
Sc1 0.000 0.000 0.501 [4 per cell]
Sc2 0.249 0.000 0.246 [8 per cell]
Sc3 0.250 0.250 0.410 [8 per cell]

Summary:
Size of the total moment: 0.00 μB per atom
Fermi-level density of states: 1.882 states/eV per atom
DFT total energy: -6.65 eV/atom
ΔH_f (0 K): 0.8 kJ per mole of atoms



Here is crystalline Tm2ZrSc5 at its relaxed geometry from the Alexandria database. Energies are from PBE.

abc: 6.616 13.243 4.651
angles: 90.00 90.00 90.00
Space group Pbam (No. 55)
Symmetry-distinct sites (fractional):
Tm1 0.246 0.123 0.000 [4 per cell]
Zr1 0.000 0.000 0.500 [2 per cell]
Sc1 0.000 0.246 0.500 [4 per cell]
Sc2 0.000 0.500 0.500 [2 per cell]
Sc3 0.244 0.879 0.000 [4 per cell]

Summary:
Energy relative to the lowest polymorph listed for this composition: 30.5 meV/atom
Size of the total moment: 0.00 μB per atom
Fermi-level density of states: 1.592 states/eV per atom
DFT total energy: -6.10 eV/atom
ΔH_f (0 K): 4.5 kJ per mole of atoms



Here is crystalline Tm2ZrSc6 at its relaxed geometry from the Alexandria database. Energies are from PBE.

abc: 3.3323 3.3323 24.0668
angles: 90.00 90.00 120.00
Space group P-6m2 (No. 187)
Symmetry-distinct sites (fractional):
Tm1 0.0000 0.0000 0.1744 [2 per cell]
Zr1 0.6667 0.3333 0.5000 [1 per cell]
Sc1 0.0000 0.0000 0.3956 [2 per cell]
Sc2 0.6667 0.3333 0.0627 [2 per cell]
Sc3 0.6667 0.3333 0.2876 [2 per cell]

Summary:
Energy relative to the lowest polymorph listed for this composition: 0.0 meV/atom
Size of the total moment: 0.27 μB per atom
Fermi-level density of states: 1.747 states/eV per atom
DFT total energy: -6.10 eV/atom
ΔH_f (0 K): 5.9 kJ per mole of atoms



Here is crystalline TmZr3Sc3 at its relaxed geometry from the Alexandria database. Energies are from PBE.

abc: 8.7404 8.7404 5.2087
angles: 90.00 90.00 120.00
Space group P6_3/m (No. 176)
Symmetry-distinct sites (fractional):
Tm1 0.3333 0.6667 0.2500 [2 per cell]
Zr1 0.0414 0.8131 0.2500 [6 per cell]
Sc1 0.0877 0.6271 0.7500 [6 per cell]

Summary:
Energy relative to the lowest polymorph listed for this composition: 0.0 meV/atom
Size of the total moment: 0.00 μB per atom
Fermi-level density of states: 1.438 states/eV per atom
DFT total energy: -7.02 eV/atom
ΔH_f (0 K): -0.6 kJ per mole of atoms



Here is crystalline Tm6Zr2Sc at its relaxed geometry from the Alexandria database. Energies are from PBE.

abc: 15.598 3.296 11.489
angles: 90.00 120.84 90.00
Space group C2/m (No. 12)
Symmetry-distinct sites (fractional):
Tm1 0.042 0.000 0.242 [4 per cell]
Tm2 0.131 0.500 0.051 [4 per cell]
Tm3 0.231 0.000 0.620 [4 per cell]
Zr1 0.153 0.500 0.788 [4 per cell]
Sc1 0.000 0.000 0.500 [2 per cell]

Summary:
Size of the total moment: 0.00 μB per atom
Fermi-level density of states: 1.270 states/eV per atom
DFT total energy: -5.44 eV/atom
ΔH_f (0 K): 14.1 kJ per mole of atoms



Here is crystalline TmZr2Sc4 at its relaxed geometry from the Alexandria database. Energies are from PBE.

abc: 5.523 7.779 8.728
angles: 88.55 77.31 71.95
Space group P1 (No. 1)
Symmetry-distinct sites (fractional):
Tm1 0.000 0.000 0.000 [1 per cell]
Tm2 0.451 0.216 0.899 [1 per cell]
Zr1 0.115 0.561 0.134 [1 per cell]
Zr2 0.165 0.498 0.485 [1 per cell]
Zr3 0.268 0.050 0.616 [1 per cell]
Zr4 0.609 0.692 0.421 [1 per cell]
Sc1 0.009 0.890 0.358 [1 per cell]
Sc2 0.295 0.159 0.271 [1 per cell]
Sc3 0.354 0.641 0.770 [1 per cell]
Sc4 0.560 0.775 0.071 [1 per cell]
Sc5 0.680 0.379 0.199 [1 per cell]
Sc6 0.723 0.274 0.540 [1 per cell]
Sc7 0.805 0.842 0.704 [1 per cell]
Sc8 0.912 0.429 0.832 [1 per cell]

Summary:
Energy relative to the lowest polymorph listed for this composition: 42.9 meV/atom
Size of the total moment: 0.00 μB per atom
Fermi-level density of states: 1.614 states/eV per atom
DFT total energy: -6.63 eV/atom
ΔH_f (0 K): 6.6 kJ per mole of atoms



Here is crystalline Tm3Zr3Sc at its relaxed geometry from the Alexandria database. Energies are from PBE.

abc: 8.9082 8.9082 5.2939
angles: 90.00 90.00 120.00
Space group P6_3/m (No. 176)
Symmetry-distinct sites (fractional):
Tm1 0.0516 0.2493 0.2500 [6 per cell]
Zr1 0.1062 0.4940 0.7500 [6 per cell]
Sc1 0.3333 0.6667 0.2500 [2 per cell]

Summary:
Size of the total moment: 0.00 μB per atom
Fermi-level density of states: 1.124 states/eV per atom
DFT total energy: -6.47 eV/atom
ΔH_f (0 K): 1.6 kJ per mole of atoms



Here is crystalline Tm2ZrSc2 at its relaxed geometry from the Alexandria database. Energies are from PBE.

abc: 8.355 8.841 8.198
angles: 90.00 118.83 90.00
Space group P2_1/c (No. 14)
Symmetry-distinct sites (fractional):
Tm1 0.003 0.170 0.003 [4 per cell]
Tm2 0.324 0.194 0.446 [4 per cell]
Zr1 0.270 0.658 0.945 [4 per cell]
Sc1 0.132 0.515 0.217 [4 per cell]
Sc2 0.424 0.527 0.665 [4 per cell]

Summary:
Energy relative to the lowest polymorph listed for this composition: 0.0 meV/atom
Size of the total moment: 0.00 μB per atom
Fermi-level density of states: 1.466 states/eV per atom
DFT total energy: -5.87 eV/atom
ΔH_f (0 K): 15.7 kJ per mole of atoms



Here is crystalline Tm6ZrSc2 at its relaxed geometry from the Alexandria database. Energies are from PBE.

abc: 15.612 11.328 5.750
angles: 90.00 97.73 90.00
Space group C2/c (No. 15)
Symmetry-distinct sites (fractional):
Tm1 0.054 0.133 0.023 [8 per cell]
Tm2 0.108 0.390 0.302 [8 per cell]
Tm3 0.214 0.354 0.839 [8 per cell]
Zr1 0.000 0.365 0.750 [4 per cell]
Sc1 0.170 0.100 0.583 [8 per cell]

Summary:
Energy relative to the lowest polymorph listed for this composition: 0.0 meV/atom
Size of the total moment: 0.00 μB per atom
Fermi-level density of states: 1.727 states/eV per atom
DFT total energy: -5.20 eV/atom
ΔH_f (0 K): 13.4 kJ per mole of atoms



Here is crystalline Tm2ZrSc2 at its relaxed geometry from the Alexandria database. Energies are from PBE.

abc: 6.335 9.876 9.023
angles: 90.00 108.88 90.00
Space group C2/m (No. 12)
Symmetry-distinct sites (fractional):
Tm1 0.089 0.000 0.358 [4 per cell]
Tm2 0.241 0.500 0.945 [4 per cell]
Zr1 0.000 0.299 0.500 [4 per cell]
Sc1 0.154 0.296 0.194 [8 per cell]

Summary:
Energy relative to the lowest polymorph listed for this composition: 33.4 meV/atom
Size of the total moment: 0.00 μB per atom
Fermi-level density of states: 1.679 states/eV per atom
DFT total energy: -5.84 eV/atom
ΔH_f (0 K): 18.9 kJ per mole of atoms



Here is crystalline Tm4ZrSc5 at its relaxed geometry from the Alexandria database. Energies are from PBE.

abc: 9.981 9.981 5.517
angles: 90.00 90.00 90.00
Space group I4mm (No. 107)
Symmetry-distinct sites (fractional):
Tm1 0.000 0.319 0.000 [8 per cell]
Zr1 0.000 0.000 0.773 [2 per cell]
Sc1 0.000 0.000 0.246 [2 per cell]
Sc2 0.185 0.185 0.515 [8 per cell]

Summary:
Energy relative to the lowest polymorph listed for this composition: 147.1 meV/atom
Size of the total moment: 0.00 μB per atom
Fermi-level density of states: 1.576 states/eV per atom
DFT total energy: -5.59 eV/atom
ΔH_f (0 K): 21.4 kJ per mole of atoms



Here is crystalline TmZrSc4 at its relaxed geometry from the Alexandria database. Energies are from PBE.

abc: 8.229 13.223 5.997
angles: 90.00 109.62 90.00
Space group C2/c (No. 15)
Symmetry-distinct sites (fractional):
Tm1 0.000 0.086 0.250 [4 per cell]
Zr1 0.000 0.497 0.750 [4 per cell]
Sc1 0.094 0.311 0.533 [8 per cell]
Sc2 0.211 0.129 0.875 [8 per cell]

Summary:
Energy relative to the lowest polymorph listed for this composition: 122.5 meV/atom
Size of the total moment: 0.00 μB per atom
Fermi-level density of states: 1.786 states/eV per atom
DFT total energy: -6.28 eV/atom
ΔH_f (0 K): 10.7 kJ per mole of atoms



Here is crystalline Tm4ZrSc5 at its relaxed geometry from the Alexandria database. Energies are from PBE.

abc: 15.761 3.317 10.687
angles: 90.00 109.02 90.00
Space group C2/m (No. 12)
Symmetry-distinct sites (fractional):
Tm1 0.091 0.000 0.301 [4 per cell]
Tm2 0.105 0.500 0.796 [4 per cell]
Zr1 0.000 0.500 0.500 [2 per cell]
Sc1 0.000 0.500 0.000 [2 per cell]
Sc2 0.191 0.000 0.080 [4 per cell]
Sc3 0.204 0.000 0.615 [4 per cell]

Summary:
Energy relative to the lowest polymorph listed for this composition: 0.0 meV/atom
Size of the total moment: 0.00 μB per atom
Fermi-level density of states: 1.748 states/eV per atom
DFT total energy: -5.73 eV/atom
ΔH_f (0 K): 7.2 kJ per mole of atoms



Here is crystalline TmZr3Sc2 at its relaxed geometry from the Alexandria database. Energies are from PBE.

abc: 6.157 6.171 8.703
angles: 95.86 95.83 115.23
Space group P-1 (No. 2)
Symmetry-distinct sites (fractional):
Tm1 0.234 0.484 0.438 [2 per cell]
Zr1 0.102 0.851 0.890 [2 per cell]
Zr2 0.266 0.016 0.564 [2 per cell]
Zr3 0.407 0.656 0.110 [2 per cell]
Sc1 0.071 0.316 0.785 [2 per cell]
Sc2 0.429 0.174 0.216 [2 per cell]

Summary:
Size of the total moment: 0.00 μB per atom
Fermi-level density of states: 1.250 states/eV per atom
DFT total energy: -7.13 eV/atom
ΔH_f (0 K): 0.4 kJ per mole of atoms



Here is crystalline Tm3ZrSc2 at its relaxed geometry from the Alexandria database. Energies are from PBE.

abc: 11.568 5.383 10.866
angles: 90.00 107.32 90.00
Space group C2/m (No. 12)
Symmetry-distinct sites (fractional):
Tm1 0.123 0.000 0.282 [4 per cell]
Tm2 0.128 0.500 0.475 [4 per cell]
Tm3 0.138 0.000 0.960 [4 per cell]
Zr1 0.101 0.500 0.782 [4 per cell]
Sc1 0.116 0.500 0.110 [4 per cell]
Sc2 0.136 0.000 0.647 [4 per cell]

Summary:
Energy relative to the lowest polymorph listed for this composition: 0.0 meV/atom
Size of the total moment: 0.00 μB per atom
Fermi-level density of states: 1.805 states/eV per atom
DFT total energy: -5.64 eV/atom
ΔH_f (0 K): 13.0 kJ per mole of atoms



Here is crystalline Tm3ZrSc4 at its relaxed geometry from the Alexandria database. Energies are from PBE.

abc: 22.202 3.351 5.822
angles: 90.00 105.08 90.00
Space group C2/m (No. 12)
Symmetry-distinct sites (fractional):
Tm1 0.000 0.000 0.000 [2 per cell]
Tm2 0.126 0.500 0.297 [4 per cell]
Zr1 0.000 0.500 0.500 [2 per cell]
Sc1 0.124 0.000 0.788 [4 per cell]
Sc2 0.249 0.500 0.754 [4 per cell]

Summary:
Energy relative to the lowest polymorph listed for this composition: 16.9 meV/atom
Size of the total moment: 0.00 μB per atom
Fermi-level density of states: 1.627 states/eV per atom
DFT total energy: -5.87 eV/atom
ΔH_f (0 K): 3.8 kJ per mole of atoms